Computed, not measured: crystalline LaMn4Cu at its relaxed geometry at the PBE level of DFT.

It has space group F-43m (No. 216), with a = 7.247 Å, b = 7.247 Å, c = 7.247 Å, α = 90.00°, β = 90.00° and γ = 90.00°. The asymmetric unit holds La at (0.000, 0.000, 0.000), Mn at (0.124, 0.124, 0.376) and Cu at (0.250, 0.250, 0.750).

The density of states at the Fermi level comes out at 1.138 states/eV/atom. The calculation puts the mass density at 7.4 g/cm3. The value obtained for the formation energy is 39 kJ per mole of atoms. For the total magnetization, the calculation gives 42.4 μB/cell.

***

Computed, not measured: crystalline BaIn2RuPb at its relaxed geometry at the PBE level of DFT.

It has space group P4/mmm (No. 123), with a = 5.238 Å, b = 5.238 Å, c = 5.318 Å, α = 90.00°, β = 90.00° and γ = 90.00°. The asymmetric unit holds Ba at (0.000, 0.000, 0.000), In at (0.000, 0.500, 0.500), Ru at (0.500, 0.500, 0.500) and Pb at (0.500, 0.500, 0.000).

The density of states at the Fermi level comes out at 0.493 states/eV/atom. The calculation puts the mass density at 7.7 g/cm3. The value obtained for the formation energy is -17 kJ per mole of atoms. For the total magnetization, the calculation gives 0.0 μB/cell.

***

Computed, not measured: crystalline NaSm2US5 at its relaxed geometry at the PBE level of DFT.

It has space group Immm (No. 71), with a = 5.001 Å, b = 7.043 Å, c = 13.879 Å, α = 90.00°, β = 90.00° and γ = 90.00°. The asymmetric unit holds Na at (0.000, 0.000, 0.000), Sm at (0.000, 0.500, 0.203), U at (0.000, 0.000, 0.500), S at (0.000, 0.241, 0.349) and S at (0.000, 0.500, 0.000).

The density of states at the Fermi level comes out at 0.714 states/eV/atom. The calculation puts the mass density at 4.9 g/cm3. For the total magnetization, the calculation gives 4.9 μB/cell. As for the uncorrected formation energy: -148.9 kJ per mole of atoms.

***

Computed, not measured: crystalline RbHg3F8 at its relaxed geometry at the PBE level of DFT.

It has space group P-3 (No. 147), with a = 6.1332 Å, b = 6.1332 Å, c = 7.2922 Å, α = 90.00°, β = 90.00° and γ = 120.00°. The asymmetric unit holds Rb at (0.0000, 0.0000, 0.0000), Hg at (0.0000, 0.0000, 0.5000), Hg at (0.3333, 0.6667, 0.5917), F at (0.0747, 0.3600, 0.3580) and F at (0.3333, 0.6667, 0.8819).

The density of states at the Fermi level comes out at 1.363 states/eV/atom. The calculation puts the mass density at 5.9 g/cm3. For the energy above the most stable polymorph in this dataset, the calculation gives 0.1185 eV/atom. For the total magnetization, the calculation gives 1.2 μB/cell. As for the uncorrected formation energy: -140.0 kJ per mole of atoms.

***

Computed, not measured: crystalline LaDyHoTm at its relaxed geometry at the PBE level of DFT.

It has space group F-43m (No. 216), with a = 8.074 Å, b = 8.074 Å, c = 8.074 Å, α = 90.00°, β = 90.00° and γ = 90.00°. The asymmetric unit holds La at (0.000, 0.000, 0.000), Dy at (0.000, 0.000, 0.500), Ho at (0.250, 0.250, 0.250) and Tm at (0.250, 0.250, 0.750).

The density of states at the Fermi level comes out at 1.663 states/eV/atom. The calculation puts the mass density at 8.0 g/cm3. The value obtained for the formation energy is 10 kJ per mole of atoms. For the total magnetization, the calculation gives 0.0 μB/cell.

***

Computed, not measured: crystalline NbTcSe4 at its relaxed geometry at the PBE level of DFT.

It has space group Cm (No. 8), with a = 14.345 Å, b = 3.341 Å, c = 6.017 Å, α = 90.00°, β = 102.60° and γ = 90.00°. The asymmetric unit holds Nb at (0.000, 0.000, 0.000), Tc at (0.011, 0.500, 0.395), Se at (0.108, 0.500, 0.821), Se at (0.138, 0.000, 0.356), Se at (0.371, 0.000, 0.052) and Se at (0.406, 0.500, 0.562).

The density of states at the Fermi level comes out at 0.322 states/eV/atom. The calculation puts the mass density at 6.0 g/cm3. For the energy above the most stable polymorph in this dataset, the calculation gives 0.0000 eV/atom. For the total magnetization, the calculation gives 0.0 μB/cell. As for the uncorrected formation energy: -61.5 kJ per mole of atoms.

***

Computed, not measured: crystalline CaIn2Ag2 at its relaxed geometry at the PBE level of DFT.

It has space group P4/mbm (No. 127), with a = 8.401 Å, b = 8.401 Å, c = 3.346 Å, α = 90.00°, β = 90.00° and γ = 90.00°. The asymmetric unit holds Ca at (0.000, 0.000, 0.000), In at (0.130, 0.370, 0.000) and Ag at (0.169, 0.669, 0.500).

The density of states at the Fermi level comes out at 0.483 states/eV/atom. The calculation puts the mass density at 6.8 g/cm3. For the energy above the most stable polymorph in this dataset, the calculation gives 0.1116 eV/atom. The value obtained for the formation energy is -12 kJ per mole of atoms. For the total magnetization, the calculation gives 0.0 μB/cell.

***

Computed, not measured: crystalline YGePd2 at its relaxed geometry at the PBE level of DFT.

It has space group Immm (No. 71), with a = 3.162 Å, b = 4.854 Å, c = 10.522 Å, α = 90.00°, β = 90.00° and γ = 90.00°. The asymmetric unit holds Y at (0.000, 0.000, 0.000), Ge at (0.000, 0.000, 0.500) and Pd at (0.000, 0.000, 0.269).

The density of states at the Fermi level comes out at 0.637 states/eV/atom. The calculation puts the mass density at 7.7 g/cm3. The value obtained for the formation energy is -23 kJ per mole of atoms. For the total magnetization, the calculation gives 0.0 μB/cell.

***

Computed, not measured: crystalline LiYMn2 at its relaxed geometry at the PBE level of DFT.

It has space group Cmmm (No. 65), with a = 5.954 Å, b = 7.696 Å, c = 3.357 Å, α = 90.00°, β = 90.00° and γ = 90.00°. The asymmetric unit holds Li at (0.000, 0.000, 0.000), Y at (0.000, 0.500, 0.000) and Mn at (0.250, 0.250, 0.500).

The density of states at the Fermi level comes out at 1.020 states/eV/atom. The calculation puts the mass density at 4.4 g/cm3. For the energy above the most stable polymorph in this dataset, the calculation gives 0.2058 eV/atom. The value obtained for the formation energy is 44 kJ per mole of atoms. For the total magnetization, the calculation gives 13.2 μB/cell.

***

Computed, not measured: crystalline CrSeBr2 at its relaxed geometry at the PBE level of DFT.

It has space group R-3m (No. 166, hexagonal axes), with a = 3.5246 Å, b = 3.5246 Å, c = 31.0200 Å, α = 90.00°, β = 90.00° and γ = 120.00°. The asymmetric unit holds Cr at (0.0000, 0.0000, 0.0000), Se at (0.0000, 0.0000, 0.5000) and Br at (0.0000, 0.0000, 0.3849).

The density of states at the Fermi level comes out at 1.044 states/eV/atom. The calculation puts the mass density at 4.3 g/cm3. For the energy above the most stable polymorph in this dataset, the calculation gives 0.3909 eV/atom. For the total magnetization, the calculation gives 10.3 μB/cell. As for the uncorrected formation energy: -2.1 kJ per mole of atoms.

***

Computed, not measured: crystalline Pm3Au at its relaxed geometry at the PBE level of DFT.

It has space group P6_3/mmc (No. 194), with a = 7.0476 Å, b = 7.0476 Å, c = 5.2762 Å, α = 90.00°, β = 90.00° and γ = 120.00°. The asymmetric unit holds Pm at (0.1775, 0.3551, 0.2500) and Au at (0.3333, 0.6667, 0.7500).

The density of states at the Fermi level comes out at 1.256 states/eV/atom. The calculation puts the mass density at 9.2 g/cm3. For the energy above the most stable polymorph in this dataset, the calculation gives 0.1781 eV/atom. The value obtained for the formation energy is -22 kJ per mole of atoms. For the total magnetization, the calculation gives 0.0 μB/cell.

***

Computed, not measured: crystalline Mn2Tl5S6 at its relaxed geometry at the PBE level of DFT.

It has space group C2/c (No. 15), with a = 12.575 Å, b = 7.304 Å, c = 16.537 Å, α = 90.00°, β = 100.94° and γ = 90.00°. The asymmetric unit holds Mn at (0.228, 0.150, 0.433), Tl at (0.000, 0.376, 0.250), Tl at (0.059, 0.257, 0.000), Tl at (0.155, 0.079, 0.720), S at (0.068, 0.058, 0.372), S at (0.163, 0.461, 0.644) and S at (0.234, 0.451, 0.440).

The density of states at the Fermi level comes out at 0.205 states/eV/atom. The calculation puts the mass density at 5.9 g/cm3. For the total magnetization, the calculation gives 20.0 μB/cell. As for the uncorrected formation energy: -38.4 kJ per mole of atoms.